## one
The following is a GGA-PBE calculation of an optimized crystal structure of ZrHgS2Cl, from Alexandria via LeMat-Bulk.

Cell: 5.024 5.024 5.110 Å, 90.00 90.00 90.00°
Element x y z (fractional)
S (0.500, 0.000, 0.000)
S (0.000, 0.500, 0.000)
Cl (0.000, 0.000, 0.500)
Zr (0.000, 0.000, 0.000)
Hg (0.500, 0.500, 0.500)

Output
Space-group type: P4/mmm (123)
Fermi-level density of states: 0.7275 states/eV/atom
V: 25.8 Å³ per atom
Total magnetization: 0.0 μB per formula unit
Crystal system: tetragonal

***

## two
The following is a GGA-PBE calculation of an optimized crystal structure of ZrHgS2Cl, from Alexandria via LeMat-Bulk.

Cell: 4.946 4.946 5.121 Å, 90.00 90.00 90.00°
Last column: magnetic moment on the atom in μB.
Element x y z (fractional)
Cl (0.000, 0.000, 0.500)  -0.02
S (0.000, 0.500, 0.000)  -0.08
S (0.500, 0.000, 0.000)  -0.08
Hg (0.000, 0.000, 0.000)  0.01
Zr (0.500, 0.500, 0.500)  1.21

Output
Space-group type: P4/mmm (123)
Fermi-level density of states: 1.0633 states/eV/atom
V: 25.1 Å³ per atom
Total magnetization: 1.5 μB per formula unit
Crystal system: tetragonal

***

Which structure is most stable? one, by 1196 meV/atom over the runner-up.

***

## one
The following is a GGA-PBE calculation of an optimized crystal structure of HgSbCl, from Alexandria via LeMat-Bulk.

Cell: 5.027 5.027 5.027 Å, 60.00 60.00 60.00°
Last column: magnetic moment on the atom in μB.
Element x y z (fractional)
Sb (0.750, 0.750, 0.750)  0.18
Hg (0.500, 0.500, 0.500)  0.04
Cl (0.000, 0.000, 0.000)  0.05

Output
Space-group type: F-43m (216)
Fermi-level density of states: 1.1944 states/eV/atom
V: 29.9 Å³ per atom
Total magnetization: 0.6 μB per formula unit
Crystal system: cubic

***

## two
The following is a GGA-PBE calculation of an optimized crystal structure of HgSbCl, from Alexandria via LeMat-Bulk.

Cell: 8.239 7.863 3.455 Å, 83.79 71.58 24.64°
Element x y z (fractional)
Sb (0.654, 0.654, 0.346)
Cl (0.011, 0.011, 0.989)
Hg (0.335, 0.335, 0.665)

Output
Space-group type: Fmm2 (42)
Fermi-level density of states: 0.4909 states/eV/atom
V: 26.3 Å³ per atom
Total magnetization: 0.0 μB per formula unit
Crystal system: orthorhombic

***

## three
The following is a GGA-PBE calculation of an optimized crystal structure of HgSbCl, from Alexandria via LeMat-Bulk.

Cell: 7.893 7.893 7.893 Å, 156.62 156.62 33.30°
Element x y z (fractional)
Sb (0.651, 0.651, 0.000)
Hg (0.336, 0.336, 0.000)
Cl (0.013, 0.013, 0.000)

Output
Space-group type: I4mm (107)
Fermi-level density of states: 0.5983 states/eV/atom
V: 25.8 Å³ per atom
Total magnetization: 0.0 μB per formula unit
Crystal system: tetragonal

***

## four
The following is a GGA-PBE calculation of an optimized crystal structure of HgSbCl, from Alexandria via LeMat-Bulk.

Cell: 5.250 11.103 15.010 Å, 149.12 90.00 90.00°
Element x y z (fractional)
Hg (0.738, 0.456, 0.158)
Hg (0.238, 0.544, 0.342)
Hg (0.762, 0.456, 0.658)
Hg (0.262, 0.544, 0.842)
Sb (0.209, 0.041, 0.585)
Sb (0.709, 0.959, 0.915)
Sb (0.791, 0.959, 0.415)
Sb (0.291, 0.041, 0.085)
Cl (0.421, 0.838, 0.720)
Cl (0.579, 0.162, 0.280)
Cl (0.079, 0.838, 0.220)
Cl (0.921, 0.162, 0.780)

Output
Space-group type: P2_1/c (14)
Fermi-level density of states: 0.1516 states/eV/atom
V: 37.4 Å³ per atom
Total magnetization: 0.0 μB per formula unit
Crystal system: monoclinic

***

Which structure is most stable? four, by 186 meV/atom over the runner-up.

***

## one
The following is a GGA-PBE calculation of an optimized crystal structure of HgSbCl, from Alexandria via LeMat-Bulk.

Cell: 5.767 5.767 5.767 Å, 148.32 113.99 75.07°
Element x y z (fractional)
Cl (0.033, 0.033, 0.000)
Hg (0.668, 0.668, 0.000)
Sb (0.298, 0.298, 0.000)

Output
Space-group type: Imm2 (44)
Fermi-level density of states: 0.3566 states/eV/atom
V: 30.1 Å³ per atom
Total magnetization: 0.0 μB per formula unit
Crystal system: orthorhombic

***

## two
The following is a GGA-PBE calculation of an optimized crystal structure of HgSbCl, from Alexandria via LeMat-Bulk.

Cell: 5.382 5.382 3.180 Å, 90.00 90.00 120.00°
Element x y z (fractional)
Cl (0.000, 0.000, 0.715)
Sb (0.333, 0.667, 0.666)
Hg (0.667, 0.333, 0.619)

Output
Space-group type: P3m1 (156)
Fermi-level density of states: 0.4309 states/eV/atom
V: 26.6 Å³ per atom
Total magnetization: 0.0 μB per formula unit
Crystal system: trigonal

***

Which structure is most stable? one, by 46 meV/atom over the runner-up.

***

## one
The following is a GGA-PBE calculation of an optimized crystal structure of HgSbCl2, from Alexandria via LeMat-Bulk.

Cell: 6.019 6.019 6.019 Å, 137.59 137.59 61.53°
Element x y z (fractional)
Hg (0.500, 0.500, 0.000)
Cl (0.000, 0.000, 0.000)
Cl (0.250, 0.750, 0.500)
Sb (0.750, 0.250, 0.500)

Output
Space-group type: I-4m2 (119)
Fermi-level density of states: 0.8375 states/eV/atom
V: 24.5 Å³ per atom
Total magnetization: 0.0 μB per formula unit
Crystal system: tetragonal

***

## two
The following is a GGA-PBE calculation of an optimized crystal structure of HgSbCl2, from Alexandria via LeMat-Bulk.

Cell: 5.169 5.169 5.169 Å, 60.00 60.00 60.00°
Element x y z (fractional)
Hg (0.500, 0.500, 0.500)
Cl (0.750, 0.750, 0.750)
Cl (0.250, 0.250, 0.250)
Sb (0.000, 0.000, 0.000)

Output
Space-group type: Fm-3m (225)
Fermi-level density of states: 0.7255 states/eV/atom
V: 24.4 Å³ per atom
Total magnetization: 0.0 μB per formula unit
Crystal system: cubic

***

Which structure is most stable? one, by 31 meV/atom over the runner-up.

***

## one
The following is a GGA-PBE calculation of an optimized crystal structure of HgSbCl2, from Alexandria via LeMat-Bulk.

Cell: 5.131 5.131 5.131 Å, 60.00 60.00 60.00°
Last column: magnetic moment on the atom in μB.
Element x y z (fractional)
Cl (0.000, 0.000, 0.000)  0.06
Cl (0.250, 0.250, 0.250)  0.07
Hg (0.500, 0.500, 0.500)  0.04
Sb (0.750, 0.750, 0.750)  0.27

Output
Space-group type: F-43m (216)
Fermi-level density of states: 0.8283 states/eV/atom
V: 23.9 Å³ per atom
Total magnetization: 0.8 μB per formula unit
Crystal system: cubic

***

## two
The following is a GGA-PBE calculation of an optimized crystal structure of HgSbCl2, from Alexandria via LeMat-Bulk.

Cell: 6.652 6.652 3.262 Å, 60.90 60.90 77.57°
Element x y z (fractional)
Sb (0.000, 0.500, 0.500)
Cl (0.000, 0.000, 0.000)
Cl (0.500, 0.500, 0.000)
Hg (0.500, 0.000, 0.500)

Output
Space-group type: C2/m (12)
Fermi-level density of states: 0.4475 states/eV/atom
V: 27.5 Å³ per atom
Total magnetization: 0.0 μB per formula unit
Crystal system: monoclinic

***

Which structure is most stable? two, by 207 meV/atom over the runner-up.

***

## one
The following is a GGA-PBE calculation of an optimized crystal structure of HgSbCl2, from Alexandria via LeMat-Bulk.

Cell: 10.241 10.241 10.241 Å, 19.72 19.72 19.72°
Element x y z (fractional)
Cl (0.084, 0.084, 0.084)
Cl (0.916, 0.916, 0.916)
Hg (0.500, 0.500, 0.500)
Sb (0.000, 0.000, 0.000)

Output
Space-group type: R-3m (166)
Fermi-level density of states: 0.5857 states/eV/atom
V: 26.7 Å³ per atom
Total magnetization: 0.0 μB per formula unit
Crystal system: trigonal

***

## two
The following is a GGA-PBE calculation of an optimized crystal structure of HgSbCl2, from Alexandria via LeMat-Bulk.

Cell: 4.660 4.660 4.436 Å, 90.00 90.00 90.00°
Element x y z (fractional)
Cl (0.000, 0.000, 0.000)
Cl (0.500, 0.500, 0.000)
Sb (0.000, 0.500, 0.500)
Hg (0.500, 0.000, 0.500)

Output
Space-group type: P4/mmm (123)
Fermi-level density of states: 0.7460 states/eV/atom
V: 24.1 Å³ per atom
Total magnetization: 0.0 μB per formula unit
Crystal system: tetragonal

***

Which structure is most stable? one, by 261 meV/atom over the runner-up.

***

## one
The following is a GGA-PBE calculation of an optimized crystal structure of Hg4Sb2Cl3, from Alexandria via LeMat-Bulk.

Cell: 7.443 8.829 11.750 Å, 88.47 72.73 114.88°
Element x y z (fractional)
Hg (0.314, 0.546, 0.108)
Hg (0.717, 0.340, 0.384)
Hg (0.686, 0.454, 0.892)
Hg (0.283, 0.660, 0.616)
Hg (0.177, 0.144, 0.707)
Hg (0.308, 0.254, 0.269)
Hg (0.823, 0.856, 0.293)
Hg (0.692, 0.746, 0.731)
Cl (0.340, 0.586, 0.410)
Cl (0.145, 0.313, 0.869)
Cl (0.660, 0.414, 0.590)
Cl (0.601, 0.006, 0.169)
Cl (0.855, 0.687, 0.131)
Cl (0.399, 0.994, 0.831)
Sb (0.908, 0.083, 0.442)
Sb (0.092, 0.917, 0.558)
Sb (0.274, 0.681, 0.851)
Sb (0.726, 0.319, 0.149)

Output
Space-group type: P-1 (2)
V: 36.6 Å³ per atom
Total magnetization: 0.0 μB per formula unit
Crystal system: triclinic

***

## two
The following is a GGA-PBE calculation of an optimized crystal structure of Hg4Sb2Cl3, from Alexandria via LeMat-Bulk.

Cell: 8.301 8.366 8.366 Å, 94.78 77.97 77.97°
Element x y z (fractional)
Hg (0.949, 0.261, 0.927)
Hg (0.524, 0.374, 0.314)
Hg (0.476, 0.626, 0.686)
Hg (0.024, 0.314, 0.374)
Hg (0.051, 0.739, 0.073)
Hg (0.976, 0.686, 0.626)
Hg (0.449, 0.927, 0.261)
Hg (0.551, 0.073, 0.739)
Sb (0.312, 0.200, 0.493)
Sb (0.812, 0.493, 0.200)
Sb (0.688, 0.800, 0.507)
Sb (0.188, 0.507, 0.800)
Cl (0.250, 0.686, 0.314)
Cl (0.750, 0.314, 0.686)
Cl (0.612, 0.761, 0.988)
Cl (0.888, 0.012, 0.239)
Cl (0.388, 0.239, 0.012)
Cl (0.112, 0.988, 0.761)

Output
Space-group type: C2/c (15)
Fermi-level density of states: 0.4215 states/eV/atom
V: 30.6 Å³ per atom
Total magnetization: 0.0 μB per formula unit
Crystal system: monoclinic

***

Which structure is most stable? one, by 43 meV/atom over the runner-up.

***

## one
The following is a GGA-PBE calculation of an optimized crystal structure of HgSb2Cl, from Alexandria via LeMat-Bulk.

Cell: 3.350 5.856 5.264 Å, 90.00 90.00 90.00°
Element x y z (fractional)
Cl (0.500, 0.000, 0.500)
Sb (0.000, 0.000, 0.000)
Sb (0.500, 0.500, 0.000)
Hg (0.000, 0.500, 0.500)

Output
Space-group type: Pmmm (47)
Fermi-level density of states: 0.3646 states/eV/atom
V: 25.8 Å³ per atom
Total magnetization: 0.0 μB per formula unit
Crystal system: orthorhombic

***

## two
The following is a GGA-PBE calculation of an optimized crystal structure of HgSb2Cl, from Alexandria via LeMat-Bulk.

Cell: 3.680 3.680 8.007 Å, 90.00 90.00 90.00°
Element x y z (fractional)
Hg (0.500, 0.500, 0.741)
Sb (0.500, 0.500, 0.240)
Sb (0.000, 0.000, 0.025)
Cl (0.000, 0.000, 0.493)

Output
Space-group type: P4mm (99)
Fermi-level density of states: 0.7460 states/eV/atom
V: 27.1 Å³ per atom
Total magnetization: 0.0 μB per formula unit
Crystal system: tetragonal

***

Which structure is most stable? one, by 12 meV/atom over the runner-up.

***

## one
The following is a GGA-PBE calculation of an optimized crystal structure of HgSb2Cl, from Alexandria via LeMat-Bulk.

Cell: 6.332 6.332 4.834 Å, 88.29 88.29 38.41°
Element x y z (fractional)
Cl (0.457, 0.457, 0.365)
Hg (0.230, 0.230, 0.368)
Sb (0.072, 0.072, 0.935)
Sb (0.741, 0.741, 0.832)

Output
Space-group type: Cm (8)
Fermi-level density of states: 0.1829 states/eV/atom
V: 30.1 Å³ per atom
Total magnetization: 0.0 μB per formula unit
Crystal system: monoclinic

***

## two
The following is a GGA-PBE calculation of an optimized crystal structure of HgSb2Cl, from Alexandria via LeMat-Bulk.

Cell: 3.388 3.388 10.078 Å, 90.00 90.00 118.86°
Element x y z (fractional)
Hg (0.500, 0.500, 0.750)
Sb (0.000, 0.000, 0.008)
Sb (0.000, 0.000, 0.492)
Cl (0.500, 0.500, 0.250)

Output
Space-group type: Cmmm (65)
Fermi-level density of states: 0.4842 states/eV/atom
V: 25.3 Å³ per atom
Total magnetization: 0.0 μB per formula unit
Crystal system: orthorhombic

***

## three
The following is a GGA-PBE calculation of an optimized crystal structure of HgSb2Cl, from Alexandria via LeMat-Bulk.

Cell: 3.363 3.363 10.397 Å, 90.00 90.00 107.78°
Element x y z (fractional)
Sb (0.500, 0.500, 0.265)
Sb (0.000, 0.000, 0.033)
Hg (0.500, 0.500, 0.741)
Cl (0.000, 0.000, 0.461)

Output
Space-group type: Cmm2 (35)
Fermi-level density of states: 0.4253 states/eV/atom
V: 28.0 Å³ per atom
Total magnetization: 0.0 μB per formula unit
Crystal system: orthorhombic

***

## four
The following is a GGA-PBE calculation of an optimized crystal structure of HgSb2Cl, from Alexandria via LeMat-Bulk.

Cell: 4.588 6.187 4.567 Å, 69.60 86.81 110.50°
Element x y z (fractional)
Hg (0.500, 0.500, 0.000)
Sb (0.500, 0.000, 0.500)
Sb (0.000, 0.000, 0.000)
Cl (0.000, 0.500, 0.500)

Output
Space-group type: C2/m (12)
Fermi-level density of states: 0.5777 states/eV/atom
V: 27.9 Å³ per atom
Total magnetization: 0.0 μB per formula unit
Crystal system: monoclinic

***

Which structure is most stable? one, by 48 meV/atom over the runner-up.

***

## one
The following is a GGA-PBE calculation of an optimized crystal structure of HgSb2Cl, from Alexandria via LeMat-Bulk.

Cell: 3.697 3.697 7.693 Å, 90.00 90.00 90.00°
Element x y z (fractional)
Sb (0.000, 0.000, 0.535)
Sb (0.000, 0.000, 0.965)
Hg (0.500, 0.500, 0.750)
Cl (0.500, 0.500, 0.250)

Output
Space-group type: P4/mmm (123)
Fermi-level density of states: 0.3516 states/eV/atom
V: 26.3 Å³ per atom
Total magnetization: 0.0 μB per formula unit
Crystal system: tetragonal

***

## two
The following is a GGA-PBE calculation of an optimized crystal structure of HgSb2Cl, from Alexandria via LeMat-Bulk.

Cell: 4.896 3.262 6.526 Å, 90.07 90.00 90.00°
Element x y z (fractional)
Hg (0.500, 0.750, 0.750)
Sb (0.000, 0.738, 0.483)
Sb (0.000, 0.762, 0.017)
Cl (0.500, 0.250, 0.250)

Output
Space-group type: P2/m (10)
Fermi-level density of states: 0.3708 states/eV/atom
V: 26.1 Å³ per atom
Total magnetization: 0.0 μB per formula unit
Crystal system: monoclinic

***

Which structure is most stable? two, by 73 meV/atom over the runner-up.

***

## one
The following is a GGA-PBE calculation of an optimized crystal structure of Hg3Sb2Cl2, from Alexandria via LeMat-Bulk.

Cell: 4.455 7.097 7.841 Å, 105.54 90.75 107.95°
Element x y z (fractional)
Hg (0.270, 0.509, 0.736)
Hg (0.730, 0.491, 0.264)
Hg (0.000, 0.000, 0.000)
Cl (0.130, 0.262, 0.437)
Cl (0.870, 0.738, 0.563)
Sb (0.396, 0.767, 0.070)
Sb (0.604, 0.233, 0.930)

Output
Space-group type: P-1 (2)
Fermi-level density of states: 0.0898 states/eV/atom
V: 32.3 Å³ per atom
Total magnetization: 0.0 μB per formula unit
Crystal system: triclinic

***

## two
The following is a GGA-PBE calculation of an optimized crystal structure of Hg3Sb2Cl2, from Alexandria via LeMat-Bulk.

Cell: 5.754 8.251 11.404 Å, 90.00 90.84 90.00°
Element x y z (fractional)
Cl (0.290, 0.864, 0.330)
Cl (0.210, 0.364, 0.170)
Cl (0.790, 0.636, 0.830)
Cl (0.710, 0.136, 0.670)
Hg (0.255, 0.891, 0.749)
Hg (0.000, 0.000, 0.000)
Hg (0.500, 0.500, 0.500)
Hg (0.745, 0.109, 0.251)
Hg (0.755, 0.609, 0.249)
Hg (0.245, 0.391, 0.751)
Sb (0.614, 0.359, 0.099)
Sb (0.114, 0.141, 0.599)
Sb (0.386, 0.641, 0.901)
Sb (0.886, 0.859, 0.401)

Output
Space-group type: P2_1/c (14)
V: 38.7 Å³ per atom
Total magnetization: 0.0 μB per formula unit
Crystal system: monoclinic

***

Which structure is most stable? two, by 7 meV/atom over the runner-up.